Record 1
# K2Ba3

A relaxed structure of K2Ba3 (PBEsol, the Alexandria database).

```
15
Lattice="4.402 0.000 0.000 -2.201 3.812 0.000 0.000 0.000 56.306" Properties=species:S:1:pos:R:3 pbc="T T T"
K 0.000 0.000 5.607
K 0.000 0.000 50.698
K 0.000 2.542 31.930
K 0.000 2.542 43.144
K 2.201 1.271 13.161
K 2.201 1.271 24.376
Ba 0.000 0.000 16.993
Ba 0.000 0.000 28.153
Ba 0.000 0.000 39.313
Ba 0.000 2.542 9.384
Ba 0.000 2.542 20.544
Ba 0.000 2.542 54.530
Ba 2.201 1.271 1.776
Ba 2.201 1.271 35.761
Ba 2.201 1.271 46.921
```

Summary:
As for the total DFT energy (no corrections): -1.659 eV/atom. The space group is No. 166. The spin magnetization is 0.00 μB/f.u.

Record 2
# KBa2

A relaxed structure of KBa2 (PBEsol, the Alexandria database).

```
3
Lattice="4.395 0.000 0.000 -2.197 3.806 0.000 0.000 0.000 11.203" Properties=species:S:1:pos:R:3 pbc="T T T"
K 0.000 0.000 0.000
Ba 0.000 2.537 3.826
Ba 2.197 1.269 7.377
```

Summary:
As for the total DFT energy (no corrections): -1.740 eV/atom. The space group is No. 164. The spin magnetization is 0.00 μB/f.u.

Record 3
# K3Ba2

A relaxed structure of K3Ba2 (PBEsol, the Alexandria database).

```
5
Lattice="7.031 0.000 0.000 -3.516 6.089 0.000 0.000 0.000 9.071" Properties=species:S:1:pos:R:3 pbc="T T T"
K 0.000 0.000 0.000
K 0.000 4.059 3.300
K 3.516 2.030 5.770
Ba 0.000 4.059 7.914
Ba 3.516 2.030 1.157
```

Summary:
As for the total DFT energy (no corrections): -1.263 eV/atom. The space group is No. 164. The spin magnetization is 0.00 μB/f.u.

Record 4
# K8Ba

A relaxed structure of K8Ba (PBEsol, the Alexandria database).

```
9
Lattice="-7.917 7.917 2.446 7.917 -7.917 2.446 7.917 7.917 -2.446" Properties=species:S:1:pos:R:3 pbc="T T T"
K 5.203 0.000 0.000
K 10.631 0.000 0.000
K 0.000 5.203 0.000
K 5.256 5.256 0.000
K 2.662 -2.662 2.446
K -2.662 2.662 2.446
K 2.662 2.662 2.446
K 0.000 10.631 0.000
Ba 0.000 0.000 0.000
```

Summary:
As for the total DFT energy (no corrections): -1.199 eV/atom. The space group is No. 139. The spin magnetization is 0.00 μB/f.u.

Record 5
# KBa5

A relaxed structure of KBa5 (PBEsol, the Alexandria database).

```
6
Lattice="7.631 0.000 0.000 -3.816 6.609 0.000 0.000 0.000 7.219" Properties=species:S:1:pos:R:3 pbc="T T T"
K 0.000 0.000 0.000
Ba -1.292 2.238 3.609
Ba 0.000 4.406 0.000
Ba 2.584 0.000 3.609
Ba 2.524 4.371 3.609
Ba 3.816 2.203 0.000
```

Summary:
For the energy above the most stable polymorph in this dataset, the calculation gives 14.4 meV/atom. The space group is No. 189. The spin magnetization is 0.00 μB/f.u.

Record 6
# KBa2

A relaxed structure of KBa2 (PBEsol, the Alexandria database).

```
12
Lattice="16.639 0.000 0.000 0.000 4.347 0.000 -2.594 0.000 10.371" Properties=species:S:1:pos:R:3 pbc="T T T"
K 2.953 0.000 1.492
K 2.773 2.174 8.879
K 11.272 2.174 1.492
K 11.092 0.000 8.879
Ba -1.670 2.174 8.377
Ba 0.851 0.000 5.412
Ba 4.875 2.174 4.959
Ba 7.395 0.000 1.994
Ba 6.649 0.000 8.377
Ba 9.170 2.174 5.412
Ba 13.194 0.000 4.959
Ba 15.715 2.174 1.994
```

Summary:
As for the total DFT energy (no corrections): -1.712 eV/atom. The space group is No. 12. The spin magnetization is 0.00 μB/f.u.

> spin magnetization of number 5 (KBa5)?

0.00 μB/f.u.

> Which formula does entry 4 have?

K8Ba